1.
VASP calculation (PBE-GGA) on a relaxed MnTe crystal.

Cell and atoms, written as extended XYZ:
```
8
Lattice="-0.870 5.565 -2.880 -4.306 1.582 4.357 3.377 1.898 2.648" Properties=species:S:1:pos:R:3 pbc="T T T"
Mn -2.951 3.152 1.504
Mn -2.940 7.340 2.645
Mn 1.140 1.705 1.480
Mn -2.224 3.995 -0.027
Te -1.158 1.599 0.330
Te -0.131 5.413 0.444
Te -1.668 3.631 3.681
Te -4.018 5.549 1.147
```

mass density: 6.46 g/cm3
energy relative to the elements, uncorrected: 0.32 eV/atom
symmetry: P4_2/mnm
E_tot: -11.66 eV/f.u.

2.
VASP calculation (PBE-GGA) on a relaxed MnTe crystal.

Cell and atoms, written as extended XYZ:
```
12
Lattice="7.824 0.000 0.000 0.000 7.824 0.000 0.000 0.000 7.824" Properties=species:S:1:pos:R:3 pbc="T T T"
Mn 1.956 0.000 3.912
Mn 5.868 0.000 3.912
Mn 0.000 3.912 1.956
Mn 0.000 3.912 5.868
Mn 3.912 1.956 0.000
Mn 3.912 5.868 0.000
Te 1.956 3.912 0.000
Te 5.868 3.912 0.000
Te 3.912 0.000 1.956
Te 3.912 0.000 5.868
Te 0.000 1.956 3.912
Te 0.000 5.868 3.912
```

mass density: 3.80 g/cm3
energy relative to the elements, uncorrected: 0.03 eV/atom
symmetry: Pm-3n
E_tot: -12.26 eV/f.u.

3.
VASP calculation (PBE-GGA) on a relaxed MnTe2 crystal.

Cell and atoms, written as extended XYZ:
```
3
Lattice="7.039 -0.230 0.000 5.530 4.361 0.000 -6.285 -2.066 2.416" Properties=species:S:1:pos:R:3 pbc="T T T"
Mn 6.285 2.066 0.000
Te 1.579 0.519 0.000
Te 10.990 3.612 0.000
```

mass density: 6.67 g/cm3
energy relative to the elements, uncorrected: 0.12 eV/atom
symmetry: I4/mmm
E_tot: -15.10 eV/f.u.

4.
VASP calculation (PBE-GGA) on a relaxed Mn3Te crystal.

Cell and atoms, written as extended XYZ:
```
4
Lattice="3.324 0.000 0.000 0.000 3.324 0.000 0.000 0.000 5.394" Properties=species:S:1:pos:R:3 pbc="T T T"
Mn 0.000 0.000 0.127
Mn 1.662 1.662 1.348
Mn 0.000 0.000 2.570
Te 1.662 1.662 4.045
```

mass density: 8.15 g/cm3
energy relative to the elements, uncorrected: 0.35 eV/atom
symmetry: P4/mmm
energy above the most stable polymorph in this dataset: 91 meV per atom
E_tot: -29.26 eV/f.u.

5.
VASP calculation (PBE-GGA) on a relaxed MnTe crystal.

Cell and atoms, written as extended XYZ:
```
4
Lattice="8.394 0.427 0.000 6.321 5.540 0.000 -7.357 -2.983 2.759" Properties=species:S:1:pos:R:3 pbc="T T T"
Mn 0.000 0.000 0.000
Mn 3.160 2.770 1.379
Te 7.357 2.983 0.000
Te 4.197 0.213 1.379
```

mass density: 5.02 g/cm3
energy relative to the elements, uncorrected: 0.25 eV/atom
symmetry: I4_1/amd
E_tot: -11.80 eV/f.u.

6.
VASP calculation (PBE-GGA) on a relaxed Th4MnTe3 crystal.

Cell and atoms, written as extended XYZ:
```
16
Lattice="7.348 0.017 0.000 -2.561 7.536 0.000 0.000 0.000 8.970" Properties=species:S:1:pos:R:3 pbc="T T T"
Mn 5.511 0.013 7.910
Mn 1.837 0.004 1.060
Te 5.511 0.013 3.395
Te 1.837 0.004 5.575
Te 4.231 3.780 5.518
Te 4.231 3.780 1.113
Te 0.557 3.772 3.452
Te 0.557 3.772 7.857
Th 6.540 1.670 5.919
Th 3.322 1.483 8.017
Th 2.865 1.662 3.050
Th -0.352 1.474 0.953
Th 5.140 6.078 8.017
Th 1.923 5.891 5.919
Th 1.466 6.070 0.953
Th -1.752 5.882 3.050
```

mass density: 9.13 g/cm3
energy relative to the elements, uncorrected: -0.78 eV/atom
symmetry: P2/c
E_tot: -54.54 eV/f.u.